{
  "formula": "InCu2Ir",
  "functional": "PBE-GGA",
  "state": "relaxed",
  "space_group": "No. 160",
  "formation_enthalpy_0k_ev_per_atom": 0.262,
  "density_g_cm3": 11.7,
  "lattice": [[8.6460, -0.0100, -0.0059], [8.1657, 2.8414, -0.0059], [8.1657, 1.3752, 2.4864]],
  "species": ["In", "Ir", "Cu", "Cu"],
  "frac_coords": [[0.5004, 0.5004, 0.5004], [0.7452, 0.7452, 0.7452], [0.9980, 0.9980, 0.9980], [0.2565, 0.2565, 0.2565]]
}

{
  "formula": "In2CuIr2",
  "functional": "PBE-GGA",
  "state": "relaxed",
  "space_group": "No. 127",
  "de_polymorph_ev_per_atom": 0.000,
  "formation_enthalpy_0k_ev_per_atom": 0.117,
  "density_g_cm3": 12.6,
  "lattice": [[7.4623, 0.0000, 0.0000], [0.0000, 7.4623, 0.0000], [0.0000, 0.0000, 3.2104]],
  "species": ["Ir", "Ir", "Ir", "Ir", "Cu", "Cu", "In", "In", "In", "In"],
  "frac_coords": [[0.3634, 0.8634, 0.0000], [0.6366, 0.1366, 0.0000], [0.1366, 0.3634, 0.0000], [0.8634, 0.6366, 0.0000], [0.5000, 0.5000, 0.0000], [0.0000, 0.0000, 0.0000], [0.3365, 0.1635, 0.5000], [0.6635, 0.8365, 0.5000], [0.1635, 0.6635, 0.5000], [0.8365, 0.3365, 0.5000]]
}

{
  "formula": "InCu2Ir",
  "functional": "PBE-GGA",
  "state": "relaxed",
  "space_group": "No. 119",
  "formation_enthalpy_0k_ev_per_atom": 0.016,
  "density_g_cm3": 12.1,
  "lattice": [[-4.3571, 1.6224, 0.8267], [-1.2220, -1.3824, 4.3469], [3.8661, 2.2353, -1.5351]],
  "species": ["Ir", "Cu", "Cu", "In"],
  "frac_coords": [[0.7500, 0.2500, 0.5000], [0.2500, 0.7500, 0.5000], [0.0000, 0.0000, 0.0000], [0.5000, 0.5000, 0.0000]]
}

{
  "formula": "InCuIr3",
  "functional": "PBE-GGA",
  "state": "relaxed",
  "space_group": "No. 221",
  "de_polymorph_ev_per_atom": 0.000,
  "formation_enthalpy_0k_ev_per_atom": 1.269,
  "density_g_cm3": 13.7,
  "lattice": [[-2.9204, -3.3839, -0.6020], [1.2741, -1.7995, 3.9345], [-3.1922, 2.3776, 2.1211]],
  "species": ["Ir", "Ir", "Ir", "In", "Cu"],
  "frac_coords": [[0.0000, 0.0000, 0.5000], [0.5000, 0.0000, 0.0000], [0.0000, 0.5000, 0.0000], [0.5000, 0.5000, 0.5000], [0.0000, 0.0000, 0.0000]]
}

{
  "formula": "InCu2Ir",
  "functional": "PBE-GGA",
  "state": "relaxed",
  "space_group": "No. 65",
  "formation_enthalpy_0k_ev_per_atom": 0.343,
  "density_g_cm3": 11.6,
  "lattice": [[-2.3078, -1.5288, -0.4531], [2.2961, -1.3154, 0.9308], [-2.5996, 1.4265, 8.4284]],
  "species": ["In", "Cu", "Cu", "Ir"],
  "frac_coords": [[0.5000, 0.5000, 0.2500], [0.0000, 0.0000, 0.9886], [0.0000, 0.0000, 0.5114], [0.5000, 0.5000, 0.7500]]
}

{
  "formula": "In4CuIr",
  "functional": "PBE-GGA",
  "state": "relaxed",
  "space_group": "No. 140",
  "de_polymorph_ev_per_atom": 0.000,
  "formation_enthalpy_0k_ev_per_atom": -0.068,
  "density_g_cm3": 9.5,
  "lattice": [[-0.1193, 2.1835, 6.3211], [-0.6060, -6.2996, 2.1646], [5.9011, 1.6139, -3.9849]],
  "species": ["In", "In", "In", "In", "In", "In", "In", "In", "Cu", "Cu", "Ir", "Ir"],
  "frac_coords": [[0.0327, 0.2020, 0.7347], [0.2020, 0.7020, 0.7347], [0.7980, 0.2980, 0.2653], [0.7020, 0.5327, 0.7347], [0.2980, 0.4673, 0.2653], [0.4673, 0.9673, 0.2653], [0.9673, 0.7980, 0.2653], [0.5327, 0.0327, 0.7347], [0.0000, 0.0000, 0.0000], [0.5000, 0.5000, 0.0000], [0.7500, 0.7500, 0.5000], [0.2500, 0.2500, 0.5000]]
}

{
  "formula": "InCuIr",
  "functional": "PBE-GGA",
  "state": "relaxed",
  "space_group": "No. 44",
  "de_polymorph_ev_per_atom": 0.039,
  "formation_enthalpy_0k_ev_per_atom": 0.069,
  "density_g_cm3": 12.9,
  "lattice": [[-0.8775, 0.2075, 4.7550], [2.7957, -2.4421, 3.1054], [0.0583, 3.2716, -3.5661]],
  "species": ["In", "Ir", "Cu"],
  "frac_coords": [[0.3312, 0.3312, 0.0000], [0.6617, 0.6617, 0.0000], [0.0071, 0.0071, 0.0000]]
}

{
  "formula": "InCu2Ir",
  "functional": "PBE-GGA",
  "state": "relaxed",
  "space_group": "No. 166",
  "formation_enthalpy_0k_ev_per_atom": 0.322,
  "density_g_cm3": 11.7,
  "lattice": [[-6.0578, 6.3556, 0.9935], [-7.7683, 4.2063, 0.1935], [-7.0186, 4.4916, 2.9397]],
  "species": ["Ir", "Cu", "Cu", "In"],
  "frac_coords": [[0.7500, 0.7500, 0.7500], [0.4959, 0.4959, 0.4959], [0.0041, 0.0041, 0.0041], [0.2500, 0.2500, 0.2500]]
}